This record from OQMD via LeMat-Bulk describes crystalline YIn2Ni at its relaxed geometry. The functional is PBE.

The structure in POSCAR format:
```
YIn2Ni
1.0
0.000 3.465 3.465
3.465 0.000 3.465
3.465 3.465 0.000
Y In Ni
1 2 1
Direct
0.000 0.000 0.000
0.250 0.250 0.250
0.500 0.500 0.500
0.750 0.750 0.750
```

Results
Spin magnetization   0.0 μB per formula unit
Raw total energy   -18.3 eV/cell
Space group   F-43m